A geometry-optimized Pu2MgZn16 structure, computed with PBE-GGA.

Properties
Space-group type: R3m, No. 160
Total energy (eV per atom): -2.810
Total magnetic moment (μB per atom): 0.586

a b c (Å): 6.8595 6.8595 6.8595
angles (deg): 82.62 82.62 82.62
With the nearest neighbours (Å) after each atom.
Positions (direct):
Pu 0.0000 0.0000 0.0000  10 Zn 3.04-3.19
Pu 0.3205 0.3205 0.3205  18 Zn 3.19-3.50, 1 Mg 3.27
Mg 0.5661 0.5661 0.5661  13 Zn 2.74-2.97
Zn 0.0137 0.0137 0.4982  9 Zn 2.58-2.85
Zn 0.0137 0.4982 0.0137  9 Zn 2.58-2.85
Zn 0.1569 0.6614 0.6614  9 Zn 2.61-2.69, 1 Mg 2.81
Zn 0.3064 0.3064 0.8182  8 Zn 2.58-2.81
Zn 0.3064 0.8182 0.3064  8 Zn 2.58-2.81
Zn 0.3621 0.6604 0.9579  8 Zn 2.61-2.81
Zn 0.3621 0.9579 0.6604  8 Zn 2.61-2.81
Zn 0.4982 0.0137 0.0137  9 Zn 2.58-2.85
Zn 0.6604 0.3621 0.9579  8 Zn 2.61-2.81
Zn 0.6604 0.9579 0.3621  8 Zn 2.61-2.81
Zn 0.6614 0.1569 0.6614  9 Zn 2.61-2.69, 1 Mg 2.81
Zn 0.6614 0.6614 0.1569  9 Zn 2.61-2.69, 1 Mg 2.81
Zn 0.7716 0.7716 0.7716  6 Zn 2.69-2.85, 1 Mg 2.74
Zn 0.8182 0.3064 0.3064  8 Zn 2.58-2.81
Zn 0.9579 0.3621 0.6604  8 Zn 2.61-2.81
Zn 0.9579 0.6604 0.3621  8 Zn 2.61-2.81

=====

A geometry-optimized Zr2Cu2Si3 structure, computed with PBE-GGA.

Properties
Space-group type: Cmcm, No. 63
Uncorrected formation energy (eV/atom): -0.56
Total magnetic moment (μB per atom): 0.000

a b c (Å): 8.7304 8.7304 6.5728
angles (deg): 90.00 90.00 154.36
With the nearest neighbours (Å) after each atom.
Positions (direct):
Zr 0.0506 0.9494 0.7500  9 Si 2.86-2.98
Zr 0.1516 0.8484 0.2500  6 Si 2.74-2.88, 6 Cu 2.89-2.98
Zr 0.8484 0.1516 0.7500  6 Si 2.74-2.88, 6 Cu 2.89-2.98
Zr 0.9494 0.0506 0.2500  9 Si 2.86-2.98
Cu 0.3106 0.6894 0.0603  4 Si 2.32-2.52, 1 Cu 2.49
Cu 0.3106 0.6894 0.4397  4 Si 2.32-2.52, 1 Cu 2.49
Cu 0.6894 0.3106 0.5603  4 Si 2.32-2.52, 1 Cu 2.49
Cu 0.6894 0.3106 0.9397  4 Si 2.32-2.52, 1 Cu 2.49
Si 0.2235 0.7765 0.7500  6 Cu 2.38-2.52
Si 0.4377 0.5623 0.5678  2 Si 2.30-2.40, 1 Cu 2.32
Si 0.4377 0.5623 0.9322  2 Si 2.30-2.40, 1 Cu 2.32
Si 0.5623 0.4377 0.0678  2 Si 2.30-2.40, 1 Cu 2.32
Si 0.5623 0.4377 0.4322  2 Si 2.30-2.40, 1 Cu 2.32
Si 0.7765 0.2235 0.2500  6 Cu 2.38-2.52

=====

A geometry-optimized CeSm2Ho3Te6 structure, computed with PBE-GGA.

Properties
Space-group type: C2/m, No. 12
Uncorrected formation energy (eV/atom): -1.32
Total magnetic moment (μB per atom): 0.111

a b c (Å): 9.8698 9.8698 8.8845
angles (deg): 104.01 104.01 25.51
With the nearest neighbours (Å) after each atom.
Positions (direct):
Ce 0.0000 0.0000 0.0000  6 Te 3.17
Sm 0.3346 0.3346 0.6689  6 Te 3.14-3.16
Sm 0.6654 0.6654 0.3311  6 Te 3.14-3.16
Ho 0.0000 0.0000 0.5000  6 Te 3.05-3.08
Ho 0.3332 0.3332 0.1658  6 Te 3.05-3.08
Ho 0.6668 0.6668 0.8342  6 Te 3.05-3.08
Te 0.1653 0.1653 0.5886  3 Ho 3.08, 3 Sm 3.16
Te 0.1697 0.1697 0.0786  3 Ho 3.05-3.07, 2 Sm 3.14, 1 Ce 3.17
Te 0.4975 0.4975 0.2577  3 Ho 3.05-3.06, 1 Sm 3.14, 2 Ce 3.17
Te 0.5025 0.5025 0.7423  3 Ho 3.05-3.06, 1 Sm 3.14, 2 Ce 3.17
Te 0.8303 0.8303 0.9214  3 Ho 3.05-3.07, 2 Sm 3.14, 1 Ce 3.17
Te 0.8347 0.8347 0.4114  3 Ho 3.08, 3 Sm 3.16

=====

Please write out number 1 again, unchanged.
A geometry-optimized Pu2MgZn16 structure, computed with PBE-GGA.

Properties
Space-group type: R3m, No. 160
Total energy (eV per atom): -2.810
Total magnetic moment (μB per atom): 0.586

a b c (Å): 6.8595 6.8595 6.8595
angles (deg): 82.62 82.62 82.62
With the nearest neighbours (Å) after each atom.
Positions (direct):
Pu 0.0000 0.0000 0.0000  10 Zn 3.04-3.19
Pu 0.3205 0.3205 0.3205  18 Zn 3.19-3.50, 1 Mg 3.27
Mg 0.5661 0.5661 0.5661  13 Zn 2.74-2.97
Zn 0.0137 0.0137 0.4982  9 Zn 2.58-2.85
Zn 0.0137 0.4982 0.0137  9 Zn 2.58-2.85
Zn 0.1569 0.6614 0.6614  9 Zn 2.61-2.69, 1 Mg 2.81
Zn 0.3064 0.3064 0.8182  8 Zn 2.58-2.81
Zn 0.3064 0.8182 0.3064  8 Zn 2.58-2.81
Zn 0.3621 0.6604 0.9579  8 Zn 2.61-2.81
Zn 0.3621 0.9579 0.6604  8 Zn 2.61-2.81
Zn 0.4982 0.0137 0.0137  9 Zn 2.58-2.85
Zn 0.6604 0.3621 0.9579  8 Zn 2.61-2.81
Zn 0.6604 0.9579 0.3621  8 Zn 2.61-2.81
Zn 0.6614 0.1569 0.6614  9 Zn 2.61-2.69, 1 Mg 2.81
Zn 0.6614 0.6614 0.1569  9 Zn 2.61-2.69, 1 Mg 2.81
Zn 0.7716 0.7716 0.7716  6 Zn 2.69-2.85, 1 Mg 2.74
Zn 0.8182 0.3064 0.3064  8 Zn 2.58-2.81
Zn 0.9579 0.3621 0.6604  8 Zn 2.61-2.81
Zn 0.9579 0.6604 0.3621  8 Zn 2.61-2.81

=====

What did the second record say?
A geometry-optimized Zr2Cu2Si3 structure, computed with PBE-GGA.

Properties
Space-group type: Cmcm, No. 63
Uncorrected formation energy (eV/atom): -0.56
Total magnetic moment (μB per atom): 0.000

a b c (Å): 8.7304 8.7304 6.5728
angles (deg): 90.00 90.00 154.36
With the nearest neighbours (Å) after each atom.
Positions (direct):
Zr 0.0506 0.9494 0.7500  9 Si 2.86-2.98
Zr 0.1516 0.8484 0.2500  6 Si 2.74-2.88, 6 Cu 2.89-2.98
Zr 0.8484 0.1516 0.7500  6 Si 2.74-2.88, 6 Cu 2.89-2.98
Zr 0.9494 0.0506 0.2500  9 Si 2.86-2.98
Cu 0.3106 0.6894 0.0603  4 Si 2.32-2.52, 1 Cu 2.49
Cu 0.3106 0.6894 0.4397  4 Si 2.32-2.52, 1 Cu 2.49
Cu 0.6894 0.3106 0.5603  4 Si 2.32-2.52, 1 Cu 2.49
Cu 0.6894 0.3106 0.9397  4 Si 2.32-2.52, 1 Cu 2.49
Si 0.2235 0.7765 0.7500  6 Cu 2.38-2.52
Si 0.4377 0.5623 0.5678  2 Si 2.30-2.40, 1 Cu 2.32
Si 0.4377 0.5623 0.9322  2 Si 2.30-2.40, 1 Cu 2.32
Si 0.5623 0.4377 0.0678  2 Si 2.30-2.40, 1 Cu 2.32
Si 0.5623 0.4377 0.4322  2 Si 2.30-2.40, 1 Cu 2.32
Si 0.7765 0.2235 0.2500  6 Cu 2.38-2.52